Version w
First-principles (PBE-GGA) data for an optimized crystal structure of Y2Ho4Tm, as listed in Alexandria via LeMat-Bulk.

size of the total moment = 0.0 μB per cell
space-group type = P2_1/m

Unit cell a=6.2089 b=6.4615 c=11.4133 alpha=90.00 beta=105.51 gamma=90.00
Atoms (fractional coordinates):
Ho 0.3415 0.0040 0.7131
Ho 0.3415 0.4960 0.7131
Ho 0.8599 0.2500 0.5534
Ho 0.1401 0.7500 0.4466
Ho 0.6585 0.9960 0.2869
Ho 0.0359 0.7500 0.8635
Ho 0.6585 0.5040 0.2869
Ho 0.9641 0.2500 0.1365
Y 0.2956 0.2500 0.4242
Y 0.3863 0.2500 0.0046
Y 0.7044 0.7500 0.5758
Y 0.6137 0.7500 0.9954
Tm 0.1651 0.7500 0.1643
Tm 0.8349 0.2500 0.8357

---

Version x
First-principles (PBE-GGA) data for an optimized crystal structure of Y2Ho4Tm, as listed in Alexandria via LeMat-Bulk.

size of the total moment = 0.0 μB per cell
space-group type = Cm

Unit cell a=3.5914 b=3.5919 c=19.8365 alpha=95.18 beta=90.00 gamma=120.00
Atoms (fractional coordinates):
Ho 0.0003 0.0007 0.2379
Ho 0.4296 0.8592 0.5271
Ho 0.9044 0.8087 0.9504
Ho 0.5233 0.0466 0.8083
Y 0.7150 0.4300 0.3825
Y 0.6193 0.2387 0.0941
Tm 0.8095 0.6190 0.6677

---

Winner for stability: version x

---

Version w
First-principles (PBE-GGA) data for an optimized crystal structure of YHo7Tm4, as listed in Alexandria via LeMat-Bulk.

size of the total moment = 0.0 μB per cell
space-group type = P-1

Unit cell a=6.7518 b=6.4309 c=11.5688 alpha=74.84 beta=50.39 gamma=81.86
Atoms (fractional coordinates):
Ho 0.9380 0.6853 0.3574
Ho 0.7998 0.5162 0.9495
Ho 0.2834 0.8084 0.6129
Ho 0.7166 0.1916 0.3871
Ho 0.2002 0.4838 0.0505
Ho 0.5000 0.0000 0.0000
Ho 0.0620 0.3147 0.6426
Tm 0.2976 0.1622 0.3143
Tm 0.7024 0.8378 0.6857
Tm 0.5153 0.6415 0.2871
Tm 0.4847 0.3585 0.7129
Y 0.0000 0.0000 0.0000

---

Version x
First-principles (PBE-GGA) data for an optimized crystal structure of YHo7Tm4, as listed in Alexandria via LeMat-Bulk.

size of the total moment = 0.3 μB per cell
space-group type = C2/m

Unit cell a=5.8009 b=11.4379 c=6.6423 alpha=83.45 beta=64.11 gamma=75.31
Atoms (fractional coordinates):
Tm 0.3661 0.7744 0.4934
Tm 0.6339 0.2256 0.5066
Tm 0.7485 0.6854 0.8176
Tm 0.2515 0.3146 0.1824
Ho 0.3650 0.5031 0.7670
Ho 0.5000 0.0000 0.0000
Ho 0.9416 0.3256 0.7912
Ho 0.6350 0.4969 0.2330
Ho 0.0584 0.6744 0.2088
Ho 0.2130 0.0767 0.4974
Ho 0.7870 0.9233 0.5026
Y 0.0000 0.0000 0.0000

---

Winner for stability: version w

---

Version w
First-principles (PBE-GGA) data for an optimized crystal structure of YHo2Tm9, as listed in Alexandria via LeMat-Bulk.

size of the total moment = 0.0 μB per cell
space-group type = P6/mmm

Unit cell a=3.4658 b=11.0582 c=11.0582 alpha=120.00 beta=90.00 gamma=90.00
Atoms (fractional coordinates):
Y 0.0000 0.0000 0.0000
Tm 0.5000 0.1772 0.8228
Tm 0.5000 0.8228 0.6455
Tm 0.0000 0.5000 0.0000
Tm 0.5000 0.8228 0.1772
Tm 0.0000 0.5000 0.5000
Tm 0.0000 0.0000 0.5000
Tm 0.5000 0.1772 0.3545
Tm 0.5000 0.3545 0.1772
Tm 0.5000 0.6455 0.8228
Ho 0.0000 0.3333 0.6667
Ho 0.0000 0.6667 0.3333

---

Version x
First-principles (PBE-GGA) data for an optimized crystal structure of YHo2Tm9, as listed in Alexandria via LeMat-Bulk.

size of the total moment = 0.0 μB per cell
space-group type = P4/mmm

Unit cell a=4.9513 b=4.9513 c=14.8543 alpha=90.00 beta=90.00 gamma=90.00
Atoms (fractional coordinates):
Tm 0.5000 0.0000 0.1677
Tm 0.5000 0.5000 0.6661
Tm 0.0000 0.5000 0.8323
Tm 0.0000 0.5000 0.5000
Tm 0.5000 0.0000 0.8323
Tm 0.5000 0.5000 0.3339
Tm 0.5000 0.5000 0.0000
Tm 0.0000 0.5000 0.1677
Tm 0.5000 0.0000 0.5000
Y 0.0000 0.0000 0.0000
Ho 0.0000 0.0000 0.6663
Ho 0.0000 0.0000 0.3337

---

Winner for stability: version x

---

Version w
First-principles (PBE-GGA) data for an optimized crystal structure of Y4Ho2Tm5, as listed in Alexandria via LeMat-Bulk.

size of the total moment = 0.0 μB per cell
space-group type = C2/m

Unit cell a=3.5194 b=8.8712 c=11.8440 alpha=102.57 beta=98.54 gamma=90.00
Atoms (fractional coordinates):
Tm 0.8187 0.1087 0.6374
Tm 0.5000 0.0000 0.0000
Tm 0.7616 0.6682 0.5232
Tm 0.1813 0.8913 0.3626
Tm 0.2384 0.3318 0.4768
Ho 0.1076 0.1805 0.2151
Ho 0.8924 0.8195 0.7849
Y 0.6170 0.5162 0.2340
Y 0.3830 0.4838 0.7660
Y 0.0183 0.6929 0.0367
Y 0.9817 0.3071 0.9633

---

Version x
First-principles (PBE-GGA) data for an optimized crystal structure of Y4Ho2Tm5, as listed in Alexandria via LeMat-Bulk.

size of the total moment = 0.0 μB per cell
space-group type = C2/m

Unit cell a=4.9740 b=7.8793 c=20.2410 alpha=153.51 beta=97.06 gamma=90.00
Atoms (fractional coordinates):
Tm 0.5000 0.0000 0.0000
Tm 0.8634 0.2695 0.7268
Tm 0.7725 0.4561 0.5451
Tm 0.2275 0.5439 0.4549
Tm 0.1366 0.7305 0.2732
Y 0.0455 0.9106 0.0911
Y 0.3180 0.3621 0.6359
Y 0.6820 0.6379 0.3641
Y 0.9545 0.0894 0.9089
Ho 0.4088 0.1822 0.8175
Ho 0.5913 0.8178 0.1825

---

Winner for stability: version x

---

Version w
First-principles (PBE-GGA) data for an optimized crystal structure of Y3Ho2Tm2, as listed in Alexandria via LeMat-Bulk.

size of the total moment = 0.0 μB per cell
space-group type = C2/m

Unit cell a=3.4787 b=8.4861 c=8.8337 alpha=118.63 beta=101.36 gamma=90.00
Atoms (fractional coordinates):
Tm 0.1464 0.3235 0.2928
Tm 0.8536 0.6765 0.7072
Y 0.0000 0.5000 0.0000
Y 0.7878 0.2004 0.5757
Y 0.2122 0.7996 0.4243
Ho 0.4350 0.0903 0.8700
Ho 0.5650 0.9097 0.1300

---

Version x
First-principles (PBE-GGA) data for an optimized crystal structure of Y3Ho2Tm2, as listed in Alexandria via LeMat-Bulk.

size of the total moment = 0.0 μB per cell
space-group type = P-1

Unit cell a=3.5299 b=11.1846 c=6.1224 alpha=100.54 beta=73.24 gamma=108.30
Atoms (fractional coordinates):
Tm 0.7134 0.2854 0.1443
Tm 0.2866 0.7146 0.8557
Y 0.0000 0.0000 0.0000
Y 0.5693 0.4277 0.7159
Y 0.4307 0.5723 0.2841
Ho 0.8573 0.1424 0.5695
Ho 0.1427 0.8576 0.4305

---

Winner for stability: version x

---

Version w
First-principles (PBE-GGA) data for an optimized crystal structure of Y2Ho12Tm5, as listed in Alexandria via LeMat-Bulk.

size of the total moment = 0.0 μB per cell
space-group type = C2/m

Unit cell a=9.1009 b=9.0739 c=8.4404 alpha=90.61 beta=90.00 gamma=120.10
Atoms (fractional coordinates):
Tm 0.6973 0.3945 0.0094
Tm 0.3027 0.6055 0.9906
Tm 0.2328 0.4657 0.5750
Tm 0.0000 0.0000 0.5000
Tm 0.7672 0.5343 0.4250
Ho 0.0259 0.6866 0.7552
Ho 0.9053 0.8107 0.1139
Ho 0.3393 0.3134 0.2448
Ho 0.4416 0.8832 0.6647
Ho 0.9741 0.3134 0.2448
Ho 0.5671 0.7476 0.3400
Ho 0.5584 0.1168 0.3353
Ho 0.0947 0.1893 0.8861
Ho 0.6607 0.6866 0.7552
Ho 0.4329 0.2524 0.6600
Ho 0.1805 0.7476 0.3400
Ho 0.8195 0.2524 0.6600
Y 0.3202 0.0000 0.0000
Y 0.6798 0.0000 0.0000

---

Version x
First-principles (PBE-GGA) data for an optimized crystal structure of Y2Ho12Tm5, as listed in Alexandria via LeMat-Bulk.

size of the total moment = 0.0 μB per cell
space-group type = P-1

Unit cell a=6.0931 b=11.1236 c=15.3417 alpha=142.92 beta=109.30 gamma=79.54
Atoms (fractional coordinates):
Tm 0.0000 0.0000 0.5000
Tm 0.8419 0.2623 0.8154
Tm 0.5786 0.3699 0.3433
Tm 0.1581 0.7377 0.1846
Tm 0.4214 0.6301 0.6567
Ho 0.4734 0.2105 0.5531
Ho 0.6321 0.9483 0.2380
Ho 0.2104 0.3182 0.0794
Ho 0.3155 0.4720 0.8681
Ho 0.9462 0.4203 0.6048
Ho 0.6845 0.5280 0.1319
Ho 0.0538 0.5797 0.3952
Ho 0.1046 0.1586 0.2906
Ho 0.3679 0.0517 0.7620
Ho 0.8954 0.8414 0.7094
Ho 0.5266 0.7895 0.4469
Ho 0.7896 0.6818 0.9206
Y 0.2634 0.8938 0.9736
Y 0.7366 0.1062 0.0264

---

Winner for stability: version x